DFT (PBE-GGA) results for a relaxed CsRb2NaPb crystal.

Cell and atoms, written as extended XYZ:
```
5
Lattice="-6.291 2.648 -2.625 0.258 -4.827 -5.488 -3.224 -4.173 3.518" Properties=species:S:1:pos:R:3 pbc="T T T"
Rb -3.146 1.324 -1.313
Cs -4.629 -3.176 -2.298
Pb 0.000 0.000 0.000
Rb 0.129 -2.414 -2.744
Na -1.612 -2.086 1.759
```

Properties
For the energy of formation from the pure elements, the calculation gives 0.01 eV per atom. As for the symmetry: P4/mmm (123). Its energy relative to the lowest polymorph listed for this composition is 0.000 eV per atom.